# 1
Compound: CsInCl
Source: the Alexandria database
Functional: PBE
Structure: relaxed

## Properties
- Formation energy (no corrections): -825.9 meV/atom

Unit cell a=13.018 b=6.015 c=6.002 alpha=90.00 beta=90.00 gamma=90.00
Space group Amm2 (No. 38)
Asymmetric unit:
Cs  0.159  0.000  0.000
In  0.391  0.000  0.504
Cl  0.000  0.000  0.499
Cl  0.500  0.000  0.007


# 2
Compound: Li2ScCdF
Source: the Alexandria database
Functional: PBE
Structure: relaxed

## Properties
- Formation energy (no corrections): -1096.2 meV/atom

Unit cell a=4.200 b=4.200 c=4.629 alpha=90.00 beta=90.00 gamma=90.00
Space group P4/mmm (No. 123)
Asymmetric unit:
Li  0.000  0.500  0.000
Sc  0.000  0.000  0.500
Cd  0.500  0.500  0.500
F  0.000  0.000  0.000


Copy entry 1 word for word.
Compound: CsInCl
Source: the Alexandria database
Functional: PBE
Structure: relaxed

## Properties
- Formation energy (no corrections): -825.9 meV/atom

Unit cell a=13.018 b=6.015 c=6.002 alpha=90.00 beta=90.00 gamma=90.00
Space group Amm2 (No. 38)
Asymmetric unit:
Cs  0.159  0.000  0.000
In  0.391  0.000  0.504
Cl  0.000  0.000  0.499
Cl  0.500  0.000  0.007


What did the second record say?
Compound: Li2ScCdF
Source: the Alexandria database
Functional: PBE
Structure: relaxed

## Properties
- Formation energy (no corrections): -1096.2 meV/atom

Unit cell a=4.200 b=4.200 c=4.629 alpha=90.00 beta=90.00 gamma=90.00
Space group P4/mmm (No. 123)
Asymmetric unit:
Li  0.000  0.500  0.000
Sc  0.000  0.000  0.500
Cd  0.500  0.500  0.500
F  0.000  0.000  0.000


Repeat the first record exactly.
Compound: CsInCl
Source: the Alexandria database
Functional: PBE
Structure: relaxed

## Properties
- Formation energy (no corrections): -825.9 meV/atom

Unit cell a=13.018 b=6.015 c=6.002 alpha=90.00 beta=90.00 gamma=90.00
Space group Amm2 (No. 38)
Asymmetric unit:
Cs  0.159  0.000  0.000
In  0.391  0.000  0.504
Cl  0.000  0.000  0.499
Cl  0.500  0.000  0.007